[1]
The following is a DFT calculation (PBE) of a relaxed structure of RbGa3Br9.

Cell: 19.223 10.298 13.774 Å, 90.00 123.92 90.00°
Space group Cc (No. 9)
Symmetry-distinct sites (fractional):
Rb 0.000 0.057 0.000 [4 per cell]
Ga 0.191 0.330 0.812 [4 per cell]
Ga 0.313 0.123 0.139 [4 per cell]
Ga 0.497 0.146 0.728 [4 per cell]
Br 0.017 0.131 0.272 [4 per cell]
Br 0.092 0.244 0.619 [4 per cell]
Br 0.109 0.482 0.374 [4 per cell]
Br 0.217 0.165 0.189 [4 per cell]
Br 0.246 0.083 0.937 [4 per cell]
Br 0.301 0.439 0.809 [4 per cell]
Br 0.372 0.094 0.732 [4 per cell]
Br 0.422 0.272 0.212 [4 per cell]
Br 0.466 0.108 0.541 [4 per cell]

Output
Its energy is -2.82 eV per atom. As for the crystal system: monoclinic. The value obtained for the raw formation energy is -86 kJ/mol of atoms.

[2]
The following is a DFT calculation (PBE) of a relaxed structure of Sc4PaAs5.

Cell: 3.936 5.589 19.562 Å, 90.00 90.00 90.00°
Space group Immm (No. 71)
Symmetry-distinct sites (fractional):
Sc 0.000 0.000 0.103 [4 per cell]
Sc 0.000 0.000 0.295 [4 per cell]
Pa 0.000 0.000 0.500 [2 per cell]
As 0.000 0.500 0.105 [4 per cell]
As 0.000 0.500 0.300 [4 per cell]
As 0.000 0.500 0.500 [2 per cell]

Output
Its energy is -7.10 eV per atom. As for the crystal system: orthorhombic. The calculation puts the calculated formation energy at -1297.9 meV per atom.

[3]
The following is a DFT calculation (PBE) of a relaxed structure of CsCd2CuHg.

Cell: 5.310 5.310 5.394 Å, 90.00 90.00 90.00°
Space group P4/mmm (No. 123)
Symmetry-distinct sites (fractional):
Cs 0.000 0.000 0.000 [1 per cell]
Cd 0.000 0.500 0.500 [2 per cell]
Cu 0.500 0.500 0.500 [1 per cell]
Hg 0.500 0.500 0.000 [1 per cell]

Output
Its energy is -1.40 eV per atom. As for the crystal system: tetragonal. The calculation puts the calculated formation energy at 12.4 meV per atom.

[4]
The following is a DFT calculation (PBE) of a relaxed structure of VFe3Sn.

Cell: 4.339 4.339 4.339 Å, 90.00 90.00 90.00°
Space group Pm-3m (No. 221)
Symmetry-distinct sites (fractional):
V 0.000 0.000 0.000 [1 per cell]
Fe 0.000 0.000 0.500 [3 per cell]
Sn 0.500 0.500 0.500 [1 per cell]

Output
For the energy relative to the lowest polymorph listed for this composition, the calculation gives 0.0 meV/atom. Its energy is -6.79 eV per atom. As for the crystal system: cubic. The calculation puts the calculated formation energy at 913.2 meV per atom.

[5]
The following is a DFT calculation (PBE) of a relaxed structure of SiAg2BiS4.

Cell: 7.423 7.900 11.057 Å, 90.00 90.00 90.00°
Space group Imma (No. 74)
Symmetry-distinct sites (fractional):
Si 0.250 0.250 0.250 [4 per cell]
Ag 0.000 0.000 0.000 [4 per cell]
Ag 0.250 0.250 0.750 [4 per cell]
Bi 0.000 0.000 0.500 [4 per cell]
S 0.000 0.030 0.247 [8 per cell]
S 0.238 0.250 0.025 [8 per cell]

Output
Its energy is -4.06 eV per atom. As for the crystal system: orthorhombic. The value obtained for the raw formation energy is -12 kJ/mol of atoms.

[6]
The following is a DFT calculation (PBE) of a relaxed structure of LiTe2H.

Cell: 3.4067 3.4067 25.5322 Å, 90.00 90.00 120.00°
Space group R-3m (No. 166, hexagonal axes)
Symmetry-distinct sites (fractional):
Li 0.0000 0.0000 0.0000 [3 per cell]
Te 0.0000 0.0000 0.1039 [6 per cell]
H 0.0000 0.0000 0.5000 [3 per cell]

Output
For the energy relative to the lowest polymorph listed for this composition, the calculation gives 390.9 meV/atom. Its energy is -2.55 eV per atom. As for the crystal system: trigonal.

[7]
The following is a DFT calculation (PBE) of a relaxed structure of SrMgCdAu2.

Cell: 4.346 4.346 12.982 Å, 90.00 90.00 90.00°
Space group I-4m2 (No. 119)
Symmetry-distinct sites (fractional):
Sr 0.000 0.000 0.000 [2 per cell]
Mg 0.000 0.500 0.250 [2 per cell]
Cd 0.000 0.500 0.750 [2 per cell]
Au 0.000 0.000 0.392 [4 per cell]

Output
Its energy is -2.73 eV per atom. As for the crystal system: tetragonal. The calculation puts the calculated formation energy at -582.6 meV per atom.

[8]
The following is a DFT calculation (PBE) of a relaxed structure of Cu3Mo.

Cell: 5.617 7.461 2.536 Å, 90.00 90.00 90.00°
Space group Cmmm (No. 65)
Symmetry-distinct sites (fractional):
Cu 0.000 0.000 0.000 [2 per cell]
Cu 0.250 0.250 0.500 [4 per cell]
Mo 0.000 0.500 0.000 [2 per cell]

Output
Its energy is -5.49 eV per atom. As for the crystal system: orthorhombic. The calculation puts the calculated formation energy at 294.7 meV per atom.